TiAu2O2 | PBE | relaxed

a = 6.965 Å, b = 6.965 Å, c = 2.952 Å
α = 90.00°, β = 90.00°, γ = 90.00°
Space group P4/mbm (No. 127)
Unique sites:
Ti1 0.000 0.000 0.000 [2 per cell]
Au1 0.132 0.368 0.000 [4 per cell]
O1 0.187 0.687 0.500 [4 per cell]

Results
ΔE_f (raw) = 0.30 eV/atom
relative energy among the computed polymorphs = 1475 meV per atom
ρ = 10.99 g/cm3

LaInGe3 | PBE | relaxed

a = 5.691 Å, b = 5.691 Å, c = 5.691 Å
α = 90.00°, β = 90.00°, γ = 90.00°
Space group Pm-3m (No. 221)
Unique sites:
La1 0.000 0.000 0.000 [1 per cell]
In1 0.500 0.500 0.500 [1 per cell]
Ge1 0.000 0.000 0.500 [3 per cell]

Results
DFT formation energy = 733 meV/atom
relative energy among the computed polymorphs = 450 meV per atom
ρ = 4.25 g/cm3

Y2Tm8Sc | PBE | relaxed

a = 16.318 Å, b = 6.459 Å, c = 6.567 Å
α = 90.00°, β = 102.72°, γ = 90.00°
Space group C2/m (No. 12)
Unique sites:
Y1 0.244 0.000 0.325 [4 per cell]
Tm1 0.080 0.259 0.390 [8 per cell]
Tm2 0.094 0.500 0.915 [4 per cell]
Tm3 0.186 0.000 0.807 [4 per cell]
Sc1 0.000 0.000 0.000 [2 per cell]

Results
DFT formation energy = 189 meV/atom
relative energy among the computed polymorphs = 7 meV per atom
ρ = 7.74 g/cm3

SrCa3Be | PBE | relaxed

a = 6.378 Å, b = 6.378 Å, c = 6.378 Å
α = 90.00°, β = 90.00°, γ = 90.00°
Space group Pm-3m (No. 221)
Unique sites:
Sr1 0.000 0.000 0.000 [1 per cell]
Ca1 0.000 0.000 0.500 [3 per cell]
Be1 0.500 0.500 0.500 [1 per cell]

Results
DFT formation energy = 1476 meV/atom
relative energy among the computed polymorphs = 1253 meV per atom
ρ = 1.39 g/cm3

Na4CdPt | PBE | relaxed

a = 5.340 Å, b = 9.977 Å, c = 12.072 Å
α = 90.00°, β = 102.72°, γ = 90.00°
Space group C2/m (No. 12)
Unique sites:
Na1 0.000 0.162 0.000 [4 per cell]
Na2 0.144 0.166 0.287 [8 per cell]
Na3 0.209 0.500 0.421 [4 per cell]
Cd1 0.057 0.500 0.129 [4 per cell]
Pt1 0.000 0.249 0.500 [4 per cell]

Results
DFT formation energy = -107 meV/atom
ρ = 4.23 g/cm3

InCu2AuS4 | PBE | relaxed

a = 5.493 Å, b = 5.493 Å, c = 11.120 Å
α = 90.00°, β = 90.00°, γ = 90.00°
Space group I-42m (No. 121)
Unique sites:
In1 0.000 0.000 0.000 [2 per cell]
Cu1 0.000 0.500 0.250 [4 per cell]
Au1 0.000 0.000 0.500 [2 per cell]
S1 0.246 0.246 0.641 [8 per cell]

Results
ΔE_f (raw) = -0.24 eV/atom
ρ = 5.61 g/cm3

Li3Zn7Ga2 | PBE | relaxed

a = 5.1796 Å, b = 5.1796 Å, c = 25.7191 Å
α = 90.00°, β = 90.00°, γ = 120.00°
Space group R-3m (No. 166, hexagonal axes)
Unique sites:
Li1 0.0000 0.0000 0.0000 [3 per cell]
Li2 0.0000 0.0000 0.1455 [6 per cell]
Zn1 0.0000 0.0000 0.5000 [3 per cell]
Zn2 0.0057 0.5029 0.9127 [18 per cell]
Ga1 0.0000 0.0000 0.3342 [6 per cell]

Results
DFT formation energy = -121 meV/atom
relative energy among the computed polymorphs = 0 meV per atom
ρ = 5.15 g/cm3

MnAsH3 | PBE | relaxed

a = 3.750 Å, b = 3.750 Å, c = 3.750 Å
α = 90.00°, β = 90.00°, γ = 90.00°
Space group Pm-3m (No. 221)
Unique sites:
Mn1 0.000 0.000 0.000 [1 per cell]
As1 0.500 0.500 0.500 [1 per cell]
H1 0.000 0.500 0.500 [3 per cell]

Results
relative energy among the computed polymorphs = 342 meV per atom
ρ = 4.18 g/cm3

In2PbCl2 | PBE | relaxed

a = 8.939 Å, b = 8.939 Å, c = 3.715 Å
α = 90.00°, β = 90.00°, γ = 90.00°
Space group P4/mbm (No. 127)
Unique sites:
In1 0.203 0.297 0.000 [4 per cell]
Pb1 0.000 0.000 0.000 [2 per cell]
Cl1 0.131 0.631 0.500 [4 per cell]

Results
ΔE_f (raw) = -0.42 eV/atom
relative energy among the computed polymorphs = 0 meV per atom
ρ = 5.68 g/cm3

KZnTe2 | PBE | relaxed

a = 4.469 Å, b = 3.746 Å, c = 16.769 Å
α = 90.00°, β = 90.00°, γ = 90.00°
Space group Amm2 (No. 38)
Unique sites:
K1 0.000 0.000 0.000 [2 per cell]
Zn1 0.500 0.000 0.228 [2 per cell]
Te1 0.000 0.000 0.318 [2 per cell]
Te2 0.500 0.000 0.616 [2 per cell]

Results
ΔE_f (raw) = -0.53 eV/atom
ρ = 4.26 g/cm3

CaPdO | PBE | relaxed

a = 3.9336 Å, b = 3.9336 Å, c = 7.1713 Å
α = 90.00°, β = 90.00°, γ = 120.00°
Space group P6_3/mmc (No. 194)
Unique sites:
Ca1 0.0000 0.0000 0.0000 [2 per cell]
Pd1 0.3333 0.6667 0.2500 [2 per cell]
O1 0.3333 0.6667 0.7500 [2 per cell]

Results
ΔE_f (raw) = -0.97 eV/atom
ρ = 5.62 g/cm3

YSi2Pd3 | PBE | relaxed

a = 16.324 Å, b = 3.988 Å, c = 9.887 Å
α = 90.00°, β = 108.57°, γ = 90.00°
Space group C2/m (No. 12)
Unique sites:
Y1 0.000 0.000 0.000 [2 per cell]
Y2 0.153 0.000 0.693 [4 per cell]
Si1 0.037 0.500 0.780 [4 per cell]
Si2 0.136 0.500 0.449 [4 per cell]
Si3 0.199 0.000 0.131 [4 per cell]
Pd1 0.000 0.500 0.500 [2 per cell]
Pd2 0.041 0.000 0.329 [4 per cell]
Pd3 0.124 0.500 0.198 [4 per cell]
Pd4 0.179 0.500 0.961 [4 per cell]
Pd5 0.221 0.000 0.392 [4 per cell]

Results
ΔE_f (raw) = -0.89 eV/atom
ρ = 7.58 g/cm3